1.
A relaxed structure of MgC3. Source: the Alexandria database, functional PBE.

Unit cell a=3.8371 b=3.8371 c=4.1491 alpha=76.20 beta=76.20 gamma=39.71
Closest atoms and distances in Å follow each position.
Fractional coordinates of all 4 atoms:
Mg (0.0000, 0.0000, 0.0000)  10 C 2.45-2.64, 2 Mg 2.61
C (0.5000, 0.5000, 0.5000)  2 C 1.41
C (0.6938, 0.6938, 0.5089)  3 C 1.41-1.53
C (0.3062, 0.3062, 0.4911)  3 C 1.41-1.53

Crystal system: monoclinic
N(E_F), states/eV per atom: 0.130
E_form, eV/atom: 0.77


2.
A relaxed structure of Pu2In2Hg7. Source: the Alexandria database, functional PBE.

Unit cell a=6.2847 b=9.1529 c=6.2847 alpha=90.01 beta=121.97 gamma=89.99
Closest atoms and distances in Å follow each position.
Fractional coordinates of all 11 atoms:
Pu (0.7528, 0.5000, 0.7528)  2 Pu 3.01-3.08, 6 Hg 3.21-3.26
Pu (0.2472, 0.5000, 0.2472)  2 Pu 3.01-3.08, 6 Hg 3.21-3.26
In (0.7315, 0.0000, 0.2685)  7 Hg 2.95-3.29, 2 In 3.08
In (0.2685, 0.0000, 0.7315)  7 Hg 2.95-3.29, 2 In 3.08
Hg (0.9998, 0.3176, 0.5003)  5 Hg 3.05-3.36, 2 Pu 3.21-3.22, 2 In 3.29
Hg (0.5003, 0.6824, 0.9998)  5 Hg 3.05-3.36, 2 Pu 3.21-3.22, 2 In 3.29
Hg (0.0002, 0.6824, 0.4997)  5 Hg 3.05-3.36, 2 Pu 3.21-3.22, 2 In 3.29
Hg (0.4997, 0.3176, 0.0002)  5 Hg 3.05-3.36, 2 Pu 3.21-3.22, 2 In 3.29
Hg (0.0000, 0.0000, 0.0000)  2 In 2.95
Hg (0.5002, 0.8136, 0.4998)  2 In 3.06-3.07, 2 Pu 3.26, 5 Hg 3.36-3.41
Hg (0.4998, 0.1864, 0.5002)  2 In 3.06-3.07, 2 Pu 3.26, 5 Hg 3.36-3.41

Crystal system: orthorhombic
N(E_F), states/eV per atom: 1.888
E_form, eV/atom: 0.09


Question: N(E_F) of number 2 (Pu2In2Hg7)?
Answer: 1.888 states/eV per atom


Question: The highest E_form belongs to which entry?
Answer: MgC3


Question: Which formula does entry 2 have?
Answer: Pu2In2Hg7


Question: Which value of E_form does entry 2 give?
Answer: 0.09 eV/atom